{"formula": "Sb3TeAs", "functional": "PBE-GGA", "state": "optimized geometry", "lattice": [[-0.7573, -1.7764, 5.3351], [-5.3152, -1.5306, -1.2642], [1.8350, -5.1666, -1.4598]], "species": ["Sb", "Sb", "Sb", "As", "Te"], "frac_coords": [[0.0000, 0.5000, 0.0000], [0.0000, 0.0000, 0.5000], [0.5000, 0.0000, 0.0000], [0.5000, 0.5000, 0.5000], [0.0000, 0.0000, 0.0000]], "magmom_total_mub_per_atom": 0.000, "dos_at_fermi_per_ev_fu": 5.371, "relative_energy_ev_per_atom": 0.4834, "e_form_raw_ev_per_atom": 1.12, "dft_energy_ry_per_atom": -0.214}


{"formula": "InAgPb", "functional": "PBE-GGA", "state": "optimized geometry", "lattice": [[-2.2392, -2.2226, -10.6368], [5.8319, -1.6056, -0.8922], [-1.0068, -4.2707, 1.1043]], "species": ["Pb", "Pb", "Pb", "Pb", "Ag", "Ag", "Ag", "Ag", "In", "In", "In", "In"], "frac_coords": [[0.2954, 0.2500, 0.0000], [0.2046, 0.7500, 0.5000], [0.7046, 0.7500, 0.0000], [0.7954, 0.2500, 0.5000], [0.6049, 0.2500, 0.0000], [0.8951, 0.7500, 0.5000], [0.3951, 0.7500, 0.0000], [0.1049, 0.2500, 0.5000], [0.0000, 0.0000, 0.0000], [0.5000, 0.5000, 0.5000], [0.5000, 0.0000, 0.5000], [0.0000, 0.5000, 0.0000]], "magmom_total_mub_per_atom": 0.000, "dos_at_fermi_per_ev_fu": 1.213, "dft_energy_ry_per_atom": -0.224, "ef_ev_per_atom": 0.06}


{"formula": "SiIrPb2", "functional": "PBE-GGA", "state": "optimized geometry", "lattice": [[-3.3722, -2.8350, 2.1808], [-0.2674, -3.8532, 3.0408], [-0.4703, 2.7898, 5.0012]], "species": ["Ir", "Pb", "Pb", "Si"], "frac_coords": [[0.2500, 0.2500, 0.2500], [0.9868, 0.9868, 0.0157], [0.5132, 0.5132, 0.4843], [0.7500, 0.7500, 0.7500]], "magmom_total_mub_per_atom": 0.000, "dos_at_fermi_per_ev_fu": 1.731, "e_form_raw_ev_per_atom": 0.63, "dft_energy_ry_per_atom": -0.352}


{"formula": "TcP2SO", "functional": "PBE-GGA", "state": "optimized geometry", "lattice": [[3.9323, 0.0000, 0.0000], [0.0000, 3.9323, 0.0000], [0.0000, 0.0000, 4.3149]], "species": ["P", "P", "S", "Tc", "O"], "frac_coords": [[0.0000, 0.5000, 0.0000], [0.5000, 0.0000, 0.0000], [0.0000, 0.0000, 0.5000], [0.5000, 0.5000, 0.5000], [0.0000, 0.0000, 0.0000]], "magmom_total_mub_per_atom": 0.000, "dos_at_fermi_per_ev_fu": 3.637, "relative_energy_ev_per_atom": 0.5999, "e_form_raw_ev_per_atom": 0.67, "dft_energy_ry_per_atom": -0.396}


{"formula": "CsCaRu2", "functional": "PBE-GGA", "state": "optimized geometry", "lattice": [[0.0000, 3.5163, 3.5163], [3.5163, 0.0000, 3.5163], [3.5163, 3.5163, 0.0000]], "species": ["Cs", "Ru", "Ru", "Ca"], "frac_coords": [[0.5000, 0.5000, 0.5000], [0.2500, 0.2500, 0.2500], [0.7500, 0.7500, 0.7500], [0.0000, 0.0000, 0.0000]], "magmom_total_mub_per_atom": 0.026, "dos_at_fermi_per_ev_fu": 6.089, "relative_energy_ev_per_atom": 0.0000, "dft_energy_ry_per_atom": -0.287, "ef_ev_per_atom": 1.45}


{"formula": "Pm8Bi4SbTe3", "functional": "PBE-GGA", "state": "optimized geometry", "lattice": [[-1.5443, -8.6274, 2.3156], [6.3694, 0.5787, 6.4039], [-6.8415, 5.9467, -0.1513]], "species": ["Pm", "Pm", "Pm", "Pm", "Pm", "Pm", "Pm", "Pm", "Bi", "Bi", "Bi", "Bi", "Sb", "Te", "Te", "Te"], "frac_coords": [[0.2475, 0.7487, 0.0011], [0.2477, 0.7488, 0.4954], [0.2492, 0.2476, 0.4985], [0.7537, 0.7487, 0.0011], [0.2463, 0.2513, 0.9989], [0.7508, 0.7524, 0.5015], [0.7523, 0.2512, 0.5046], [0.7525, 0.2513, 0.9989], [0.5000, 0.0000, 0.0000], [0.5000, 0.0000, 0.5000], [0.0000, 0.0000, 0.0000], [0.0000, 0.0000, 0.5000], [0.0000, 0.5000, 0.0000], [0.5000, 0.5000, 0.0000], [0.5000, 0.5000, 0.5000], [0.0000, 0.5000, 0.5000]], "magmom_total_mub_per_atom": 0.000, "dos_at_fermi_per_ev_fu": 6.495, "e_form_raw_ev_per_atom": -1.17, "dft_energy_ry_per_atom": -0.394}


{"formula": "MnCr2Ni", "functional": "PBE-GGA", "state": "optimized geometry", "lattice": [[-3.2366, -1.9725, 0.0710], [0.6724, -1.1750, -1.9940], [2.6149, -4.2405, 1.3935]], "species": ["Cr", "Cr", "Mn", "Ni"], "frac_coords": [[0.0000, 0.0563, 0.0049], [0.0000, 0.4437, 0.4951], [0.5000, 0.2500, 0.2500], [0.5000, 0.7500, 0.7500]], "magmom_total_mub_per_atom": 0.000, "dos_at_fermi_per_ev_fu": 5.375, "dft_energy_ry_per_atom": -0.621, "ef_ev_per_atom": 0.10}


{"formula": "Ca4TlN2", "functional": "PBE-GGA", "state": "optimized geometry", "lattice": [[3.7152, 0.0000, 0.0000], [-1.8576, 6.2681, 0.0000], [0.0000, 0.0000, 13.3397]], "species": ["Ca", "Ca", "Ca", "Ca", "Ca", "Ca", "Ca", "Ca", "Tl", "Tl", "N", "N", "N", "N"], "frac_coords": [[0.7528, 0.5057, 0.0903], [0.7528, 0.5057, 0.4097], [0.2472, 0.4943, 0.9097], [0.2472, 0.4943, 0.5903], [0.9097, 0.8193, 0.7500], [0.0903, 0.1807, 0.2500], [0.5000, 0.0000, 0.0000], [0.5000, 0.0000, 0.5000], [0.6163, 0.2327, 0.7500], [0.3837, 0.7673, 0.2500], [0.1376, 0.2752, 0.4338], [0.8624, 0.7248, 0.9338], [0.1376, 0.2752, 0.0662], [0.8624, 0.7248, 0.5662]], "magmom_total_mub_per_atom": 0.103, "dos_at_fermi_per_ev_fu": 4.292, "e_form_raw_ev_per_atom": -0.54, "dft_energy_ry_per_atom": -0.323}


Copy entry 4 word for word.
{"formula": "TcP2SO", "functional": "PBE-GGA", "state": "optimized geometry", "lattice": [[3.9323, 0.0000, 0.0000], [0.0000, 3.9323, 0.0000], [0.0000, 0.0000, 4.3149]], "species": ["P", "P", "S", "Tc", "O"], "frac_coords": [[0.0000, 0.5000, 0.0000], [0.5000, 0.0000, 0.0000], [0.0000, 0.0000, 0.5000], [0.5000, 0.5000, 0.5000], [0.0000, 0.0000, 0.0000]], "magmom_total_mub_per_atom": 0.000, "dos_at_fermi_per_ev_fu": 3.637, "relative_energy_ev_per_atom": 0.5999, "e_form_raw_ev_per_atom": 0.67, "dft_energy_ry_per_atom": -0.396}


Repeat the seventh record exactly.
{"formula": "MnCr2Ni", "functional": "PBE-GGA", "state": "optimized geometry", "lattice": [[-3.2366, -1.9725, 0.0710], [0.6724, -1.1750, -1.9940], [2.6149, -4.2405, 1.3935]], "species": ["Cr", "Cr", "Mn", "Ni"], "frac_coords": [[0.0000, 0.0563, 0.0049], [0.0000, 0.4437, 0.4951], [0.5000, 0.2500, 0.2500], [0.5000, 0.7500, 0.7500]], "magmom_total_mub_per_atom": 0.000, "dos_at_fermi_per_ev_fu": 5.375, "dft_energy_ry_per_atom": -0.621, "ef_ev_per_atom": 0.10}